PBE Dy5AlPd2, relaxed; calculated density = 8.62 Mg/m³; V = 25.34 Å³/atom; size of the total moment = 0.0 μB per formula unit; space group = I4/mcm, No. 140; uncorrected energy = -5.1942 eV per atom
1.0
7.042 0.000 -3.324
-1.569 6.865 -3.324
-0.220 -0.276 8.655
Pd Dy Al
4 10 2
Direct
0.633 0.133 0.000
0.367 0.867 0.000
0.867 0.633 0.000
0.133 0.367 0.000
0.500 0.500 0.000
0.000 0.000 0.000
0.804 0.983 0.287
0.017 0.517 0.713
0.483 0.304 0.287
0.517 0.696 0.713
0.304 0.804 0.287
0.196 0.017 0.713
0.983 0.483 0.287
0.696 0.196 0.713
0.750 0.750 0.500
0.250 0.250 0.500